Computed, not measured: CaPr2Ga after structural relaxation at the PBE level of DFT.

Cell and atoms, written as POSCAR:
```
CaPr2Ga
1.0
4.788 0.000 0.000
2.394 4.147 0.000
2.394 1.382 7.364
Pr Ga Ca
2 1 1
direct
0.277 0.277 0.169
0.058 0.058 0.825
0.665 0.665 0.004
0.500 0.500 0.501
```

**DFT formation energy**: -0.0138 eV/atom
**Density**: 4.45 Mg/m³
**Volume**: 146.2 Å³ per cell
**Total moment**: 0.00 μB/cell